Entry 1:
First-principles (PBE) data for Pb4O3F after structural relaxation, as listed in Alexandria via LeMat-Bulk.

Computed properties:
The value obtained for the energy relative to the elements, uncorrected is -1.2025 eV/atom. The value obtained for the total magnetization is 0.00 μB/cell.

a = 7.3139 Å, b = 3.6117 Å, c = 14.4088 Å
α = 90.00°, β = 96.00°, γ = 90.00°
Space group P2_1/m (No. 11)
Inequivalent atoms, fractional coordinates:
1 Pb 0.0421 0.2500 0.2475 x2
2 Pb 0.1962 0.2500 0.9579 x2
3 Pb 0.2630 0.7500 0.4877 x2
4 Pb 0.4473 0.2500 0.7289 x2
5 O 0.0085 0.7500 0.9224 x2
6 O 0.1542 0.2500 0.7806 x2
7 O 0.3918 0.2500 0.5724 x2
8 F 0.0339 0.7500 0.5914 x2

Entry 2:
First-principles (PBE) data for PbO2F5 after structural relaxation, as listed in Alexandria via LeMat-Bulk.

Computed properties:
The value obtained for the energy relative to the elements, uncorrected is -1.2191 eV/atom. The value obtained for the total magnetization is 1.00 μB/cell.

a = 4.3802 Å, b = 5.3874 Å, c = 6.5012 Å
α = 78.46°, β = 71.80°, γ = 69.20°
Space group P-1 (No. 2)
Inequivalent atoms, fractional coordinates:
1 Pb 0.0000 0.0000 0.0000 x1
2 O 0.4935 0.4061 0.4708 x2
3 F 0.0603 0.1950 0.6913 x2
4 F 0.2269 0.6349 0.8639 x2
5 F 0.5000 0.0000 0.0000 x1

Entry 3:
First-principles (PBE) data for Pb3O2F2 after structural relaxation, as listed in Alexandria via LeMat-Bulk.

Computed properties:
As for the polymorph energy (0 for the lowest one): 0.052 eV per atom. The value obtained for the energy relative to the elements, uncorrected is -1.5726 eV/atom. The value obtained for the total magnetization is 0.00 μB/cell.

a = 3.6642 Å, b = 6.3850 Å, c = 7.1513 Å
α = 107.44°, β = 90.16°, γ = 106.64°
Space group P-1 (No. 2)
Inequivalent atoms, fractional coordinates:
1 Pb 0.0000 0.0000 0.0000 x1
2 Pb 0.2102 0.4220 0.7611 x2
3 O 0.3593 0.7179 0.0556 x2
4 F 0.1638 0.3236 0.3111 x2

Entry 4:
First-principles (PBE) data for PbOF2 after structural relaxation, as listed in Alexandria via LeMat-Bulk.

Computed properties:
As for the polymorph energy (0 for the lowest one): 0.060 eV per atom. The value obtained for the energy relative to the elements, uncorrected is -0.9392 eV/atom. The value obtained for the total magnetization is 6.00 μB/cell.

a = 3.9931 Å, b = 3.9931 Å, c = 20.5146 Å
α = 90.00°, β = 90.00°, γ = 120.00°
Space group R-3m (No. 166, hexagonal axes)
Inequivalent atoms, fractional coordinates:
1 Pb 0.0000 0.0000 0.0000 x3
2 O 0.0000 0.0000 0.5000 x3
3 F 0.0000 0.0000 0.3800 x6

Entry 5:
First-principles (PBE) data for Pb3O2F2 after structural relaxation, as listed in Alexandria via LeMat-Bulk.

Computed properties:
As for the polymorph energy (0 for the lowest one): 0.000 eV per atom. The value obtained for the energy relative to the elements, uncorrected is -1.6250 eV/atom. The value obtained for the total magnetization is 0.00 μB/cell.

a = 14.3243 Å, b = 12.5246 Å, c = 7.0787 Å
α = 90.00°, β = 118.10°, γ = 90.00°
Space group C2/c (No. 15)
Inequivalent atoms, fractional coordinates:
1 Pb 0.1260 0.1092 0.1851 x8
2 Pb 0.1309 0.2655 0.7299 x8
3 Pb 0.1333 0.4224 0.2412 x8
4 O 0.1871 0.2671 0.1145 x8
5 O 0.1945 0.4162 0.6399 x8
6 F 0.0000 0.2471 0.2500 x4
7 F 0.0000 0.4170 0.7500 x4
8 F 0.1673 0.0833 0.5506 x8

Entry 6:
First-principles (PBE) data for Pb9O2F14 after structural relaxation, as listed in Alexandria via LeMat-Bulk.

Computed properties:
The value obtained for the energy relative to the elements, uncorrected is -2.1801 eV/atom. The value obtained for the total magnetization is 0.00 μB/cell.

a = 7.4761 Å, b = 7.4761 Å, c = 10.1997 Å
α = 90.00°, β = 90.00°, γ = 120.00°
Space group P-3 (No. 147)
Inequivalent atoms, fractional coordinates:
1 Pb 0.0000 0.0000 0.0000 x1
2 Pb 0.0522 0.3534 0.3324 x6
3 Pb 0.3333 0.6667 0.0236 x2
4 O 0.3333 0.6667 0.2502 x2
5 F 0.0000 0.0000 0.2491 x2
6 F 0.0056 0.3348 0.0848 x6
7 F 0.0131 0.3523 0.5933 x6